# NiSe4 (PBE, relaxed)
# * offset from the most stable computed form: 0.5385 eV per atom
# * E_form (uncorrected): 0.450 eV per atom
# * N(E_F): 5.694 states/eV/f.u.
# * total magnetic moment: 0.00 μB per formula unit
data_NiSe4
_chemical_formula_sum 'Ni1 Se4'
_symmetry_space_group_name_H-M 'P m -3 m'
_symmetry_Int_Tables_number 221
_symmetry_space_group_name_Hall '-P 4 2 3'
_cell_length_a 4.6869
_cell_length_b 4.6869
_cell_length_c 4.6869
_cell_angle_alpha 90.00
_cell_angle_beta 90.00
_cell_angle_gamma 90.00
loop_
_atom_site_label
_atom_site_type_symbol
_atom_site_fract_x
_atom_site_fract_y
_atom_site_fract_z
Ni1 Ni 0.0000 0.0000 0.0000
Se1 Se 0.0000 0.0000 0.5000
Se2 Se 0.5000 0.5000 0.5000